Record 1
Crystalline LiCdN at its relaxed geometry, computed with GGA-PBE.

The structure in CIF format:
```
data_LiCdN
_chemical_formula_sum 'Li2 Cd2 N2'
_space_group_name_H-M_alt 'P 1'
_space_group_IT_number 1
_space_group_name_Hall 'P 1'
_cell_length_a 3.602
_cell_length_b 3.602
_cell_length_c 6.805
_cell_angle_alpha 90.00
_cell_angle_beta 90.00
_cell_angle_gamma 120.00
loop_
_atom_site_label
_atom_site_fract_x
_atom_site_fract_y
_atom_site_fract_z
Li1 0.000 0.000 0.000
Li2 0.000 0.000 0.500
Cd1 0.333 0.667 0.230
Cd2 0.667 0.333 0.730
N1 0.333 0.667 0.564
N2 0.667 0.333 0.064
```

Record 2
Crystalline KAgC2N2 at its relaxed geometry, computed with GGA-PBE.

The structure in CIF format:
```
data_KAgC2N2
_chemical_formula_sum 'K6 Ag6 C12 N12'
_space_group_name_H-M_alt 'P 1'
_space_group_IT_number 1
_space_group_name_Hall 'P 1'
_cell_length_a 7.238
_cell_length_b 7.238
_cell_length_c 17.701
_cell_angle_alpha 90.00
_cell_angle_beta 90.00
_cell_angle_gamma 120.00
loop_
_atom_site_label
_atom_site_fract_x
_atom_site_fract_y
_atom_site_fract_z
K1 0.000 0.000 0.000
K2 0.000 0.000 0.500
K3 0.333 0.667 0.003
K4 0.333 0.667 0.497
K5 0.667 0.333 0.503
K6 0.667 0.333 0.997
Ag1 0.167 0.335 0.250
Ag2 0.167 0.833 0.250
Ag3 0.335 0.167 0.750
Ag4 0.665 0.833 0.250
Ag5 0.833 0.167 0.750
Ag6 0.833 0.665 0.750
C1 0.044 0.333 0.146
C2 0.044 0.712 0.354
C3 0.288 0.333 0.354
C4 0.288 0.956 0.146
C5 0.333 0.044 0.646
C6 0.333 0.288 0.854
C7 0.667 0.712 0.146
C8 0.667 0.956 0.354
C9 0.712 0.044 0.854
C10 0.712 0.667 0.646
C11 0.956 0.288 0.646
C12 0.956 0.667 0.854
N1 0.016 0.346 0.584
N2 0.016 0.670 0.916
N3 0.330 0.346 0.916
N4 0.330 0.984 0.584
N5 0.346 0.016 0.084
N6 0.346 0.330 0.416
N7 0.654 0.670 0.584
N8 0.654 0.984 0.916
N9 0.670 0.016 0.416
N10 0.670 0.654 0.084
N11 0.984 0.330 0.084
N12 0.984 0.654 0.416
```

Record 3
Crystalline ErSe at its relaxed geometry, computed with GGA-PBE.

The structure in CIF format:
```
data_ErSe
_chemical_formula_sum 'Er1 Se1'
_space_group_name_H-M_alt 'P 1'
_space_group_IT_number 1
_space_group_name_Hall 'P 1'
_cell_length_a 4.467
_cell_length_b 4.467
_cell_length_c 4.467
_cell_angle_alpha 60.00
_cell_angle_beta 60.00
_cell_angle_gamma 60.00
loop_
_atom_site_label
_atom_site_fract_x
_atom_site_fract_y
_atom_site_fract_z
Er1 0.000 0.000 0.000
Se1 0.750 0.750 0.750
```

Record 4
Crystalline PuZn at its relaxed geometry, computed with GGA-PBE.

The structure in CIF format:
```
data_PuZn
_chemical_formula_sum 'Pu1 Zn1'
_space_group_name_H-M_alt 'P 1'
_space_group_IT_number 1
_space_group_name_Hall 'P 1'
_cell_length_a 4.205
_cell_length_b 4.205
_cell_length_c 4.205
_cell_angle_alpha 60.00
_cell_angle_beta 60.00
_cell_angle_gamma 60.00
loop_
_atom_site_label
_atom_site_fract_x
_atom_site_fract_y
_atom_site_fract_z
Pu1 0.000 0.000 0.000
Zn1 0.500 0.500 0.500
```

Computed properties:
* ΔH_f (0 K): 0.29 eV per atom

Record 5
Crystalline IrAuNO at its relaxed geometry, computed with GGA-PBE.

The structure in CIF format:
```
data_IrAuNO
_chemical_formula_sum 'Ir2 Au2 N2 O2'
_space_group_name_H-M_alt 'P 1'
_space_group_IT_number 1
_space_group_name_Hall 'P 1'
_cell_length_a 3.575
_cell_length_b 6.095
_cell_length_c 5.794
_cell_angle_alpha 90.00
_cell_angle_beta 90.00
_cell_angle_gamma 90.00
loop_
_atom_site_label
_atom_site_fract_x
_atom_site_fract_y
_atom_site_fract_z
Ir1 0.000 0.156 0.000
Ir2 0.000 0.844 0.500
Au1 0.500 0.468 0.660
Au2 0.500 0.532 0.160
N1 0.500 0.261 0.940
N2 0.500 0.739 0.440
O1 0.000 0.120 0.337
O2 0.000 0.880 0.837
```

Computed properties:
* relative energy among the computed polymorphs: 0.359 eV per formula unit

Record 6
Crystalline Ac2CuPd3 at its relaxed geometry, computed with GGA-PBE.

The structure in CIF format:
```
data_Ac2CuPd3
_chemical_formula_sum 'Ac2 Cu1 Pd3'
_space_group_name_H-M_alt 'P 1'
_space_group_IT_number 1
_space_group_name_Hall 'P 1'
_cell_length_a 4.040
_cell_length_b 4.514
_cell_length_c 7.920
_cell_angle_alpha 90.00
_cell_angle_beta 90.00
_cell_angle_gamma 90.00
loop_
_atom_site_label
_atom_site_fract_x
_atom_site_fract_y
_atom_site_fract_z
Ac1 0.000 0.000 0.000
Ac2 0.000 0.500 0.486
Cu1 0.500 0.500 0.820
Pd1 0.500 0.000 0.334
Pd2 0.500 0.000 0.677
Pd3 0.500 0.500 0.140
```

Computed properties:
* ΔH_f (0 K): -0.69 eV per atom

So what do the calculations give for DFT total energy? Going down the list: -21.84 -234.37 -10.63 -14.82 -47.14 -31.61 eV/cell.